An optimized crystal structure of Mn3RuPb, computed with PBE. Values from VASP.

Output
**Total magnetization**: 2.443 μB per atom
**Total energy**: -7.177 eV per atom
**V**: 22.06 Å³ per atom
**D(E_F)**: 3.8 states/eV/cell
**Symmetry**: No. 221

Geometry as Quantum ESPRESSO input:
```
&SYSTEM
  ibrav = 0, nat = 5, ntyp = 3
/
ATOMIC_SPECIES
Mn 54.94 Mn.upf
Ru 101.07 Ru.upf
Pb 207.20 Pb.upf
ATOMIC_POSITIONS angstrom
Mn 0.0000 0.0000 2.3980
Mn 0.0000 2.3980 0.0000
Mn 2.3980 0.0000 0.0000
Ru 0.0000 0.0000 0.0000
Pb 2.3980 2.3980 2.3980
CELL_PARAMETERS angstrom
4.7959 0.0000 0.0000
0.0000 4.7959 0.0000
0.0000 0.0000 4.7959
```